A plane-wave DFT calculation with GGA-PBE was carried out for an optimized crystal structure of Na2CdCu.

a b c (Å): 8.4865 8.4865 5.4182
angles (deg): 90.00 90.00 90.00
Last column: nearest neighbours and their distance in Å.
Space group I-42d (No. 122)
One atom of each set of equivalent atoms:
Na (0.2013, 0.2500, 0.1250)  2 Cu 2.81, 2 Na 2.83
Cd (0.0000, 0.0000, 0.5000)  2 Cu 2.71
Cu (0.0000, 0.0000, 0.0000)  2 Cd 2.71, 4 Na 2.81

## Properties
- Total magnetization: 0.0 μB/f.u.
- Density: 3.8 g cm⁻³
- Formation enthalpy at 0 K: 218 meV per atom



A plane-wave DFT calculation with GGA-PBE was carried out for an optimized crystal structure of NaCd2Cu.

a b c (Å): 3.2869 3.2869 7.7667
angles (deg): 90.00 90.00 90.00
Last column: nearest neighbours and their distance in Å.
Space group P4/mmm (No. 123)
One atom of each set of equivalent atoms:
Na (0.0000, 0.0000, 0.0000)  4 Na 3.29, 8 Cd 3.30
Cd (0.5000, 0.5000, 0.3011)  4 Cu 2.79, 1 Cd 3.09
Cu (0.0000, 0.0000, 0.5000)  8 Cd 2.79

## Properties
- Total magnetization: 0.0 μB/f.u.
- Density: 6.2 g cm⁻³
- Formation enthalpy at 0 K: 16 meV per atom



A plane-wave DFT calculation with GGA-PBE was carried out for an optimized crystal structure of NaCd11Cu.

a b c (Å): 5.9296 14.1612 7.6611
angles (deg): 90.00 112.76 90.00
Last column: nearest neighbours and their distance in Å.
Space group C2/m (No. 12)
One atom of each set of equivalent atoms:
Na (0.0000, 0.0000, 0.0000)  18 Cd 3.49-3.84, 2 Cu 3.83
Cd (0.0000, 0.0000, 0.5000)  8 Cd 2.94-3.05, 2 Cu 2.96
Cd (0.0907, 0.3956, 0.2201)  1 Cu 2.82, 7 Cd 2.92-3.13
Cd (0.1930, 0.1703, 0.3564)  1 Cu 2.96, 6 Cd 3.04-3.17
Cd (0.2500, 0.2500, 0.0000)  10 Cd 2.92-3.17
Cu (0.0000, 0.5000, 0.5000)  10 Cd 2.82-2.96

## Properties
- Total magnetization: 0.0 μB/f.u.
- Density: 7.4 g cm⁻³
- Formation enthalpy at 0 K: -3 meV per atom



A plane-wave DFT calculation with GGA-PBE was carried out for an optimized crystal structure of NaCd2Cu.

a b c (Å): 4.2696 4.2696 20.0942
angles (deg): 90.00 90.00 90.00
Last column: nearest neighbours and their distance in Å.
Space group I-42d (No. 122)
One atom of each set of equivalent atoms:
Na (0.0000, 0.0000, 0.0000)  4 Cd 2.97, 4 Cu 3.02
Cd (0.2274, 0.2500, 0.6250)  4 Cd 2.89-3.16, 2 Cu 2.90, 2 Na 2.97
Cu (0.0000, 0.0000, 0.5000)  4 Cd 2.90, 4 Na 3.02

## Properties
- Total magnetization: 0.0 μB/f.u.
- Density: 5.6 g cm⁻³
- Formation enthalpy at 0 K: 231 meV per atom